16
Lattice="6.716 0.000 0.000 0.000 6.716 0.000 0.000 0.000 5.733" Properties=species:S:1:pos:R:3 comment="GGA+U CrSnO2, relaxed" m_tot_mub_per_fu=1.166 crystal_system=tetragonal vol_a3_per_atom=16.16 de_polymorph_ev_per_fu=3.79 dos_ef_per_ev_cell=8.2 pbc="T T T"
Cr 0.000 3.358 1.433
Cr 0.000 3.358 4.299
Cr 3.358 0.000 1.433
Cr 3.358 0.000 4.299
Sn 0.000 0.000 1.433
Sn 0.000 0.000 4.299
Sn 3.358 3.358 1.433
Sn 3.358 3.358 4.299
O 0.922 2.436 0.000
O 0.922 4.280 2.866
O 2.436 0.922 2.866
O 2.436 5.794 0.000
O 4.280 0.922 0.000
O 4.280 5.794 2.866
O 5.794 2.436 2.866
O 5.794 4.280 0.000